VASP calculation (PBE with a Hubbard U) on a geometry-optimized Ac2NpMoO6 structure.

Cell: 5.9789 6.5178 8.5884 Å, 90.00 90.00 90.00°
Last column: nearest neighbours and their distance in Å.
Atoms (fractional coordinates):
1 O 0.5000 0.1905 0.7478  1 Mo 2.14, 1 Np 2.30
2 O 0.5000 0.1905 0.2522  1 Mo 2.14, 1 Np 2.30
3 O 0.2694 0.9915 0.0000  1 Mo 2.14
4 O 0.2651 0.5591 0.0000  1 Mo 2.12, 1 Np 2.16
5 O 0.7306 0.9915 0.0000  1 Mo 2.14
6 O 0.0000 0.8095 0.2478  1 Mo 2.14, 1 Np 2.30
7 O 0.7349 0.5591 0.0000  1 Mo 2.12, 1 Np 2.16
8 O 0.7651 0.4409 0.5000  1 Mo 2.12, 1 Np 2.16
9 O 0.0000 0.8095 0.7522  1 Mo 2.14, 1 Np 2.30
10 O 0.2349 0.4409 0.5000  1 Mo 2.12, 1 Np 2.16
11 O 0.2306 0.0085 0.5000  1 Mo 2.14
12 O 0.7694 0.0085 0.5000  1 Mo 2.14
13 Ac 0.0000 0.1878 0.2865  3 O 2.49-2.57
14 Ac 0.5000 0.8122 0.7865  3 O 2.49-2.57
15 Ac 0.0000 0.1878 0.7135  3 O 2.49-2.57
16 Ac 0.5000 0.8122 0.2135  3 O 2.49-2.57
17 Mo 0.0000 0.7746 0.0000  6 O 2.12-2.14
18 Mo 0.5000 0.2254 0.5000  6 O 2.12-2.14
19 Np 0.0000 0.6919 0.5000  4 O 2.16-2.30
20 Np 0.5000 0.3081 0.0000  4 O 2.16-2.30

* space group: No. 59
* E: -8.392 eV/atom